Record 1
Hf12NiSb6 | PBE | optimized geometry

The space group is R-3 (No. 148, hexagonal axes) and the conventional cell measures 12.0262, 12.0262 and 10.8926 Å, with angles of 90.00, 90.00 and 120.00 degrees. The asymmetric unit holds Hf at (0.0292, 0.8578, 0.3792), Hf at (0.0681, 0.8828, 0.8642), Ni at (0.0000, 0.0000, 0.0000) and Sb at (0.0349, 0.6248, 0.2993).

Its density of states at the Fermi level is 1.108 states/eV/atom. The uncorrected formation energy is -0.100 eV/atom. The total energy comes out at -7.99 eV per atom. The value obtained for the total magnetization is 0.0 Bohr magnetons per cell.

Record 2
Ho2Al4GaPt3 | PBE | optimized geometry

The space group is P-4m2 (No. 115) and the conventional cell measures 4.1690, 4.1690 and 10.6986 Å, with angles of 90.00, 90.00 and 90.00 degrees. The asymmetric unit holds Ho at (0.0000, 0.5000, 0.2473), Al at (0.0000, 0.0000, 0.0000), Al at (0.0000, 0.5000, 0.6387), Al at (0.5000, 0.5000, 0.0000), Ga at (0.0000, 0.0000, 0.5000), Pt at (0.0000, 0.5000, 0.8661) and Pt at (0.5000, 0.5000, 0.5000).

As for the formation energy from the elements: -9.80 eV per formula unit. Its density of states at the Fermi level is 0.504 states/eV/atom. The total energy comes out at -5.51 eV per atom. The value obtained for the total magnetization is 0.0 Bohr magnetons per cell.

Record 3
MgTcPt2 | PBE | optimized geometry

The space group is Imm2 (No. 44) and the conventional cell measures 2.7931, 4.6942 and 9.8197 Å, with angles of 90.00, 90.00 and 90.00 degrees. The asymmetric unit holds Mg at (0.0000, 0.0000, 0.0000), Tc at (0.0000, 0.5000, 0.2267), Pt at (0.0000, 0.0000, 0.4989) and Pt at (0.0000, 0.5000, 0.7512).

As for the formation energy from the elements: -0.80 eV per formula unit. Its density of states at the Fermi level is 0.902 states/eV/atom. The total energy comes out at -6.21 eV per atom. The value obtained for the total magnetization is 2.2 Bohr magnetons per cell.

Record 4
Li4Ir | PBE | optimized geometry

The space group is P4/mcc (No. 124) and the conventional cell measures 5.8956, 5.8956 and 4.9234 Å, with angles of 90.00, 90.00 and 90.00 degrees. The asymmetric unit holds Li at (0.1519, 0.3132, 0.0000) and Ir at (0.5000, 0.5000, 0.2500).

As for the formation energy from the elements: -0.28 eV per formula unit. As for the relative energy among the computed polymorphs: 0 meV per atom. Its density of states at the Fermi level is 0.361 states/eV/atom. The total energy comes out at -3.36 eV per atom. The value obtained for the total magnetization is 0.0 Bohr magnetons per cell.

Record 5
NiSnS2 | PBE | optimized geometry

The space group is R-3m (No. 166, hexagonal axes) and the conventional cell measures 3.9125, 3.9125 and 21.2545 Å, with angles of 90.00, 90.00 and 120.00 degrees. The asymmetric unit holds Ni at (0.0000, 0.0000, 0.0000), Sn at (0.0000, 0.0000, 0.5000) and S at (0.0000, 0.0000, 0.0979).

Its density of states at the Fermi level is 0.729 states/eV/atom. The uncorrected formation energy is -0.075 eV/atom. The total energy comes out at -4.58 eV per atom. The value obtained for the total magnetization is 0.5 Bohr magnetons per cell.

Record 6
VCdAu | PBE | optimized geometry

The space group is Cm (No. 8) and the conventional cell measures 8.8167, 4.3853 and 5.9581 Å, with angles of 90.00, 111.29 and 90.00 degrees. The asymmetric unit holds V at (0.0000, 0.0000, 0.0000), V at (0.2404, 0.0000, 0.1501), Cd at (0.1033, 0.5000, 0.3398), Cd at (0.4507, 0.5000, 0.4867), Au at (0.1557, 0.5000, 0.8669) and Au at (0.3066, 0.0000, 0.6903).

As for the formation energy from the elements: 0.53 eV per formula unit. As for the relative energy among the computed polymorphs: 197 meV per atom. Its density of states at the Fermi level is 0.555 states/eV/atom. The total energy comes out at -4.26 eV per atom. The value obtained for the total magnetization is 0.0 Bohr magnetons per cell.

Record 7
Sm2YCr2C4 | PBE | optimized geometry

The space group is C2/m (No. 12) and the conventional cell measures 13.3087, 3.4646 and 6.0048 Å, with angles of 90.00, 108.67 and 90.00 degrees. The asymmetric unit holds Sm at (0.1343, 0.0000, 0.0432), Y at (0.0000, 0.0000, 0.5000), Cr at (0.1811, 0.5000, 0.4996), C at (0.0526, 0.5000, 0.2662) and C at (0.2141, 0.0000, 0.6752).

As for the formation energy from the elements: -0.94 eV per formula unit. Its density of states at the Fermi level is 0.741 states/eV/atom. The total energy comes out at -8.11 eV per atom. The value obtained for the total magnetization is 0.0 Bohr magnetons per cell.

Record 8
Rb3TcP | PBE | optimized geometry

The space group is Pm-3m (No. 221) and the conventional cell measures 6.5504, 6.5504 and 6.5504 Å, with angles of 90.00, 90.00 and 90.00 degrees. The asymmetric unit holds Rb at (0.0000, 0.0000, 0.5000), Tc at (0.5000, 0.5000, 0.5000) and P at (0.0000, 0.0000, 0.0000).

As for the formation energy from the elements: 5.38 eV per formula unit. As for the relative energy among the computed polymorphs: 0 meV per atom. Its density of states at the Fermi level is 0.815 states/eV/atom. The total energy comes out at -2.66 eV per atom. The value obtained for the total magnetization is 5.0 Bohr magnetons per cell.

Record 9
AcPm5Dy6 | PBE | optimized geometry

The space group is Immm (No. 71) and the conventional cell measures 5.1420, 10.1737 and 15.4339 Å, with angles of 90.00, 90.00 and 90.00 degrees. The asymmetric unit holds Ac at (0.0000, 0.0000, 0.0000), Pm at (0.0000, 0.0000, 0.3328), Pm at (0.0000, 0.5000, 0.0000), Pm at (0.0000, 0.5000, 0.3302), Dy at (0.0000, 0.2443, 0.5000) and Dy at (0.0000, 0.2526, 0.1678).

As for the formation energy from the elements: 0.33 eV per formula unit. Its density of states at the Fermi level is 1.360 states/eV/atom. The total energy comes out at -4.60 eV per atom. The value obtained for the total magnetization is 0.0 Bohr magnetons per cell.

Record 10
Ca2ScPb | PBE | optimized geometry

The space group is P2/m (No. 10) and the conventional cell measures 3.6857, 4.8269 and 6.7393 Å, with angles of 90.00, 90.29 and 90.00 degrees. The asymmetric unit holds Ca at (0.0026, 0.0000, 0.2568), Sc at (0.5000, 0.5000, 0.0000) and Pb at (0.5000, 0.5000, 0.5000).

As for the formation energy from the elements: -0.64 eV per formula unit. Its density of states at the Fermi level is 0.938 states/eV/atom. The total energy comes out at -3.67 eV per atom. The value obtained for the total magnetization is 0.0 Bohr magnetons per cell.

Record 11
YMnRu2 | PBE | optimized geometry

The space group is P2/m (No. 10) and the conventional cell measures 2.9806, 4.0648 and 5.8437 Å, with angles of 90.00, 104.29 and 90.00 degrees. The asymmetric unit holds Y at (0.0000, 0.0000, 0.0000), Mn at (0.5000, 0.0000, 0.5000) and Ru at (0.3067, 0.5000, 0.7021).

As for the formation energy from the elements: 0.64 eV per formula unit. Its density of states at the Fermi level is 0.970 states/eV/atom. The total energy comes out at -8.39 eV per atom. The value obtained for the total magnetization is 3.4 Bohr magnetons per cell.

Record 12
Ca3GeS | PBE | optimized geometry

The space group is Pm-3m (No. 221) and the conventional cell measures 5.2595, 5.2595 and 5.2595 Å, with angles of 90.00, 90.00 and 90.00 degrees. The asymmetric unit holds Ca at (0.0000, 0.0000, 0.5000), Ge at (0.5000, 0.5000, 0.5000) and S at (0.0000, 0.0000, 0.0000).

As for the relative energy among the computed polymorphs: 0 meV per atom. Its density of states at the Fermi level is 0.002 states/eV/atom. The uncorrected formation energy is -0.916 eV/atom. The total energy comes out at -3.87 eV per atom. The value obtained for the total magnetization is 0.0 Bohr magnetons per cell.